A geometry-optimized RbAsH2 structure. Source: the Alexandria database, functional GGA-PBE.

Summary:
- E_tot (hartree per atom) = -0.085
- magnetic moment (Bohr magnetons per cell) = 0.0
- distance to the lowest polymorph of the same formula (eV/f.u.) = 3.98
- DOS at the Fermi energy (states/eV/atom) = 0.3459

a b c (Å): 4.5454 4.5454 4.5454
angles (deg): 60.00 60.00 60.00
Fractional coordinates of all 4 atoms:
Rb  0.0000  0.0000  0.0000
As  0.5000  0.5000  0.5000
H  0.2500  0.2500  0.2500
H  0.7500  0.7500  0.7500